VASP calculation (PBE+U) on CsNpVO6 after structural relaxation.

a = 7.4767 Å, b = 7.4767 Å, c = 7.4767 Å
α = 122.81°, β = 117.12°, γ = 90.13°
Element x y z (fractional)
1 Cs 0.3634 0.1134 0.2500
2 Cs 0.6366 0.8866 0.7500
3 Np 0.0000 0.5000 0.5000
4 Np 0.5000 0.5000 0.0000
5 V 0.0000 0.0000 0.5000
6 V 0.0000 0.5000 0.0000
7 O 0.0462 0.7962 0.2500
8 O 0.0522 0.4273 0.2257
9 O 0.0522 0.8264 0.6249
10 O 0.2984 0.1736 0.7257
11 O 0.2984 0.5727 0.1249
12 O 0.3291 0.5791 0.7500
13 O 0.6709 0.4209 0.2500
14 O 0.7016 0.4273 0.8751
15 O 0.7016 0.8264 0.2743
16 O 0.9478 0.1736 0.3751
17 O 0.9478 0.5727 0.7743
18 O 0.9538 0.2038 0.7500

Calculated values
VASP energy (eV/cell): -143.043
DOS at the Fermi energy (states/eV/atom): 0.35
SG: Imma
Total magnetization (μB/f.u.): 0.99